This record from the Alexandria database describes an optimized crystal structure of Pu2SnOs. The functional is PBE-GGA.

Computed properties:
ρ in g/cm³: 14.98
Calculated volume in Å³/cell: 88.36
Calculated formation energy in eV/atom: -0.0942

The structure in CIF format:
```
data_Pu2SnOs
_symmetry_space_group_name_H-M 'P 4/m m m'
_symmetry_Int_Tables_number 123
_symmetry_space_group_name_Hall '-P 4 2'
_cell_length_a 3.789
_cell_length_b 3.789
_cell_length_c 6.156
_cell_angle_alpha 90.00
_cell_angle_beta 90.00
_cell_angle_gamma 90.00
loop_
_atom_site_label
_atom_site_type_symbol
_atom_site_fract_x
_atom_site_fract_y
_atom_site_fract_z
Pu1 Pu 0.000 0.000 0.227
Sn1 Sn 0.500 0.500 0.500
Os1 Os 0.500 0.500 0.000
```

***

This record from the Alexandria database describes an optimized crystal structure of Pu2SnOs. The functional is PBE-GGA.

Computed properties:
ρ in g/cm³: 13.55
Calculated volume in Å³/cell: 293.09
Calculated formation energy in eV/atom: 0.2868

The structure in CIF format:
```
data_Pu2SnOs
_symmetry_space_group_name_H-M 'R -3 m'
_symmetry_Int_Tables_number 166
_symmetry_space_group_name_Hall '-R 3 2"'
_cell_length_a 3.2231
_cell_length_b 3.2231
_cell_length_c 32.5782
_cell_angle_alpha 90.00
_cell_angle_beta 90.00
_cell_angle_gamma 120.00
loop_
_atom_site_label
_atom_site_type_symbol
_atom_site_fract_x
_atom_site_fract_y
_atom_site_fract_z
Pu1 Pu 0.0000 0.0000 0.1002
Sn1 Sn 0.0000 0.0000 0.0000
Os1 Os 0.0000 0.0000 0.5000
```

***

This record from the Alexandria database describes an optimized crystal structure of Pu2SnOs. The functional is PBE-GGA.

Computed properties:
ρ in g/cm³: 15.41
Calculated volume in Å³/cell: 85.89
Calculated formation energy in eV/atom: -0.0608

The structure in CIF format:
```
data_Pu2SnOs
_symmetry_space_group_name_H-M 'P 4/m m m'
_symmetry_Int_Tables_number 123
_symmetry_space_group_name_Hall '-P 4 2'
_cell_length_a 4.454
_cell_length_b 4.454
_cell_length_c 4.329
_cell_angle_alpha 90.00
_cell_angle_beta 90.00
_cell_angle_gamma 90.00
loop_
_atom_site_label
_atom_site_type_symbol
_atom_site_fract_x
_atom_site_fract_y
_atom_site_fract_z
Pu1 Pu 0.000 0.500 0.000
Sn1 Sn 0.000 0.000 0.500
Os1 Os 0.500 0.500 0.500
```

***

This record from the Alexandria database describes an optimized crystal structure of Pu6Sn2Os. The functional is PBE-GGA.

Computed properties:
ρ in g/cm³: 14.88
Calculated volume in Å³/cell: 422.24
Calculated formation energy in eV/atom: -0.0586

The structure in CIF format:
```
data_Pu6Sn2Os
_symmetry_space_group_name_H-M 'P 1 21/c 1'
_symmetry_Int_Tables_number 14
_cell_length_a 5.284
_cell_length_b 9.505
_cell_length_c 9.400
_cell_angle_alpha 90.00
_cell_angle_beta 116.57
_cell_angle_gamma 90.00
loop_
_symmetry_equiv_pos_as_xyz
'x,y,z'
'-x,-y,-z'
'-x,y+1/2,-z+1/2'
'x,-y+1/2,z+1/2'
loop_
_atom_site_label
_atom_site_type_symbol
_atom_site_fract_x
_atom_site_fract_y
_atom_site_fract_z
Pu1 Pu 0.020 0.152 0.069
Pu2 Pu 0.229 0.579 0.180
Pu3 Pu 0.321 0.246 0.348
Sn1 Sn 0.285 0.608 0.821
Os1 Os 0.500 0.000 0.000
```

***

This record from the Alexandria database describes an optimized crystal structure of PuTaOs4. The functional is PBE-GGA.

Computed properties:
ρ in g/cm³: 19.21
Calculated volume in Å³/cell: 410.05
Calculated formation energy in eV/atom: 0.0371

The structure in CIF format:
```
data_PuTaOs4
_symmetry_space_group_name_H-M 'F -4 3 m'
_symmetry_Int_Tables_number 216
_symmetry_space_group_name_Hall 'F -4 2 3'
_cell_length_a 7.429
_cell_length_b 7.429
_cell_length_c 7.429
_cell_angle_alpha 90.00
_cell_angle_beta 90.00
_cell_angle_gamma 90.00
loop_
_atom_site_label
_atom_site_type_symbol
_atom_site_fract_x
_atom_site_fract_y
_atom_site_fract_z
Pu1 Pu 0.000 0.000 0.000
Ta1 Ta 0.250 0.250 0.250
Os1 Os 0.125 0.125 0.625
```

***

This record from the Alexandria database describes an optimized crystal structure of PuTaOs. The functional is PBE-GGA.

Computed properties:
ρ in g/cm³: 16.26
Calculated volume in Å³/cell: 502.57
Calculated formation energy in eV/atom: 0.1943

The structure in CIF format:
```
data_PuTaOs
_symmetry_space_group_name_H-M 'F m m m'
_symmetry_Int_Tables_number 69
_symmetry_space_group_name_Hall '-F 2 2'
_cell_length_a 6.042
_cell_length_b 6.988
_cell_length_c 11.902
_cell_angle_alpha 90.00
_cell_angle_beta 90.00
_cell_angle_gamma 90.00
loop_
_atom_site_label
_atom_site_type_symbol
_atom_site_fract_x
_atom_site_fract_y
_atom_site_fract_z
Pu1 Pu 0.000 0.186 0.000
Ta1 Ta 0.250 0.250 0.250
Os1 Os 0.000 0.000 0.362
```

***

This record from the Alexandria database describes an optimized crystal structure of PuTa2Os3. The functional is PBE-GGA.

Computed properties:
ρ in g/cm³: 18.65
Calculated volume in Å³/cell: 104.78
Calculated formation energy in eV/atom: -0.2215

The structure in CIF format:
```
data_PuTa2Os3
_symmetry_space_group_name_H-M 'P 4/m m m'
_symmetry_Int_Tables_number 123
_symmetry_space_group_name_Hall '-P 4 2'
_cell_length_a 3.130
_cell_length_b 3.130
_cell_length_c 10.696
_cell_angle_alpha 90.00
_cell_angle_beta 90.00
_cell_angle_gamma 90.00
loop_
_atom_site_label
_atom_site_type_symbol
_atom_site_fract_x
_atom_site_fract_y
_atom_site_fract_z
Pu1 Pu 0.000 0.000 0.000
Ta1 Ta 0.000 0.000 0.341
Os1 Os 0.500 0.500 0.202
Os2 Os 0.500 0.500 0.500
```

***

This record from the Alexandria database describes an optimized crystal structure of PuTaTcOs. The functional is PBE-GGA.

Computed properties:
ρ in g/cm³: 16.85
Calculated volume in Å³/cell: 281.09
Calculated formation energy in eV/atom: -0.0841

The structure in CIF format:
```
data_PuTaTcOs
_symmetry_space_group_name_H-M 'F -4 3 m'
_symmetry_Int_Tables_number 216
_symmetry_space_group_name_Hall 'F -4 2 3'
_cell_length_a 6.551
_cell_length_b 6.551
_cell_length_c 6.551
_cell_angle_alpha 90.00
_cell_angle_beta 90.00
_cell_angle_gamma 90.00
loop_
_atom_site_label
_atom_site_type_symbol
_atom_site_fract_x
_atom_site_fract_y
_atom_site_fract_z
Pu1 Pu 0.000 0.000 0.000
Ta1 Ta 0.000 0.000 0.500
Tc1 Tc 0.250 0.250 0.750
Os1 Os 0.250 0.250 0.250
```

***

This record from the Alexandria database describes an optimized crystal structure of PuTaVOs. The functional is PBE-GGA.

Computed properties:
ρ in g/cm³: 16.03
Calculated volume in Å³/cell: 276.01
Calculated formation energy in eV/atom: 0.0347

The structure in CIF format:
```
data_PuTaVOs
_symmetry_space_group_name_H-M 'F -4 3 m'
_symmetry_Int_Tables_number 216
_symmetry_space_group_name_Hall 'F -4 2 3'
_cell_length_a 6.511
_cell_length_b 6.511
_cell_length_c 6.511
_cell_angle_alpha 90.00
_cell_angle_beta 90.00
_cell_angle_gamma 90.00
loop_
_atom_site_label
_atom_site_type_symbol
_atom_site_fract_x
_atom_site_fract_y
_atom_site_fract_z
Pu1 Pu 0.000 0.000 0.000
Ta1 Ta 0.000 0.000 0.500
V1 V 0.250 0.250 0.750
Os1 Os 0.250 0.250 0.250
```

***

This record from the Alexandria database describes an optimized crystal structure of TbPuOs4. The functional is PBE-GGA.

Computed properties:
ρ in g/cm³: 17.78
Calculated volume in Å³/cell: 434.71
Calculated formation energy in eV/atom: -0.1803

The structure in CIF format:
```
data_TbPuOs4
_symmetry_space_group_name_H-M 'F -4 3 m'
_symmetry_Int_Tables_number 216
_symmetry_space_group_name_Hall 'F -4 2 3'
_cell_length_a 7.575
_cell_length_b 7.575
_cell_length_c 7.575
_cell_angle_alpha 90.00
_cell_angle_beta 90.00
_cell_angle_gamma 90.00
loop_
_atom_site_label
_atom_site_type_symbol
_atom_site_fract_x
_atom_site_fract_y
_atom_site_fract_z
Tb1 Tb 0.000 0.000 0.000
Pu1 Pu 0.250 0.250 0.250
Os1 Os 0.125 0.125 0.625
```

***

This record from the Alexandria database describes an optimized crystal structure of TbPu2Os. The functional is PBE-GGA.

Computed properties:
ρ in g/cm³: 13.89
Calculated volume in Å³/cell: 800.51
Calculated formation energy in eV/atom: -0.0486

The structure in CIF format:
```
data_TbPu2Os
_symmetry_space_group_name_H-M 'P n m a'
_symmetry_Int_Tables_number 62
_cell_length_a 14.678
_cell_length_b 9.344
_cell_length_c 5.837
_cell_angle_alpha 90.00
_cell_angle_beta 90.00
_cell_angle_gamma 90.00
loop_
_symmetry_equiv_pos_as_xyz
'x,y,z'
'-x,-y,-z'
'-x+1/2,-y,z+1/2'
'x+1/2,y,-z+1/2'
'x+1/2,-y+1/2,-z+1/2'
'-x+1/2,y+1/2,z+1/2'
'-x,y+1/2,-z'
'x,-y+1/2,z'
loop_
_atom_site_label
_atom_site_type_symbol
_atom_site_fract_x
_atom_site_fract_y
_atom_site_fract_z
Tb1 Tb 0.108 0.250 0.241
Tb2 Tb 0.143 0.750 0.982
Pu1 Pu 0.036 0.056 0.747
Pu2 Pu 0.213 0.559 0.463
Os1 Os 0.070 0.750 0.502
Os2 Os 0.178 0.250 0.729
```

***

This record from the Alexandria database describes an optimized crystal structure of Tb2PuOs. The functional is PBE-GGA.

Computed properties:
ρ in g/cm³: 11.72
Calculated volume in Å³/cell: 426.34
Calculated formation energy in eV/atom: -0.1392

The structure in CIF format:
```
data_Tb2PuOs
_symmetry_space_group_name_H-M 'P n m a'
_symmetry_Int_Tables_number 62
_cell_length_a 7.239
_cell_length_b 9.337
_cell_length_c 6.308
_cell_angle_alpha 90.00
_cell_angle_beta 90.00
_cell_angle_gamma 90.00
loop_
_symmetry_equiv_pos_as_xyz
'x,y,z'
'-x,-y,-z'
'-x+1/2,-y,z+1/2'
'x+1/2,y,-z+1/2'
'x+1/2,-y+1/2,-z+1/2'
'-x+1/2,y+1/2,z+1/2'
'-x,y+1/2,-z'
'x,-y+1/2,z'
loop_
_atom_site_label
_atom_site_type_symbol
_atom_site_fract_x
_atom_site_fract_y
_atom_site_fract_z
Tb1 Tb 0.173 0.063 0.172
Pu1 Pu 0.047 0.250 0.651
Os1 Os 0.127 0.750 0.982
```